[1]
First-principles (PBE) data for a relaxed structure of Y2BTe, as listed in the Alexandria database.

Output
raw formation energy	-1.8	kcal/mol of atoms
polymorph energy (0 for the lowest one)	0.6051	eV/atom
SG	No. 225

a b c (Å): 5.0580 5.0580 5.0580
angles (deg): 60.00 60.00 60.00
Fractional coordinates of all 4 atoms:
B (0.0000, 0.0000, 0.0000)
Y (0.2500, 0.2500, 0.2500)
Te (0.5000, 0.5000, 0.5000)
Y (0.7500, 0.7500, 0.7500)

[2]
First-principles (PBE) data for a relaxed structure of LiAl2HAu, as listed in the Alexandria database.

Output
E	-0.2500	Ry per atom
SG	No. 123

a b c (Å): 4.1795 4.1795 3.6835
angles (deg): 90.00 90.00 90.00
Fractional coordinates of all 5 atoms:
H (0.0000, 0.0000, 0.0000)
Al (0.0000, 0.5000, 0.0000)
Au (0.5000, 0.5000, 0.5000)
Al (0.5000, 0.0000, 0.0000)
Li (0.0000, 0.0000, 0.5000)

[3]
First-principles (PBE) data for a relaxed structure of KLiDyI5, as listed in the Alexandria database.

Output
raw formation energy	-31.1	kcal/mol of atoms
SG	No. 15

a b c (Å): 8.4550 8.4550 11.3677
angles (deg): 103.32 103.32 107.92
Fractional coordinates of all 16 atoms:
Li (0.6922, 0.3078, 0.2500)
Dy (0.0000, 0.0000, 0.5000)
I (0.6819, 0.0751, 0.3845)
K (0.6414, 0.3586, 0.7500)
I (0.0858, 0.9142, 0.2500)
I (0.3786, 0.2426, 0.0617)
Li (0.3078, 0.6922, 0.7500)
I (0.2426, 0.3786, 0.5617)
I (0.9249, 0.3181, 0.1155)
I (0.3181, 0.9249, 0.6155)
K (0.3586, 0.6414, 0.2500)
I (0.9142, 0.0858, 0.7500)
Dy (0.0000, 0.0000, 0.0000)
I (0.7574, 0.6214, 0.4383)
I (0.0751, 0.6819, 0.8845)
I (0.6214, 0.7574, 0.9383)